This record from OQMD describes Cd2Mo2AsP3 after structural relaxation. The functional is GGA-PBE.

Cell lengths 12.4212, 5.8520, 5.8665 Å; angles 90.00, 117.14, 90.00 degrees
Last column: nearest neighbours and their distance in Å.
Space group C2 (No. 5)
Symmetry-distinct sites (fractional):
Cd: 0.1300 0.0000 0.3696 x4  3 P 2.62-2.63, 1 As 2.73
Mo: 0.1293 0.5173 0.8843 x4  3 P 2.32, 1 As 2.43
As: 0.0000 0.3032 0.5000 x2  2 Mo 2.43
P: 0.0000 0.7153 0.0000 x2  2 Mo 2.32
P: 0.2502 0.2668 0.2063 x4  2 Mo 2.32

This record from OQMD describes CsTaSe3 after structural relaxation. The functional is GGA-PBE.

Cell lengths 7.6739, 13.4276, 6.1116 Å; angles 90.00, 90.00, 90.00 degrees
Last column: nearest neighbours and their distance in Å.
Space group C222_1 (No. 20)
Symmetry-distinct sites (fractional):
Cs: 0.0000 0.1755 0.2500 x4  12 Se 3.78-3.99
Ta: 0.0460 0.5000 0.0000 x4  4 Se 2.45-2.59
Se: 0.0000 0.3466 0.7500 x4  2 Ta 2.59
Se: 0.2395 0.4234 0.2719 x8  1 Ta 2.45

This record from OQMD describes BaMgCdHg2 after structural relaxation. The functional is GGA-PBE.

Cell lengths 4.6789, 4.6789, 13.2620 Å; angles 90.00, 90.00, 90.00 degrees
Last column: nearest neighbours and their distance in Å.
Space group I-4m2 (No. 119)
Symmetry-distinct sites (fractional):
Ba: 0.0000 0.0000 0.0000 x2  8 Hg 3.64, 4 Cd 4.06, 4 Mg 4.06
Mg: 0.0000 0.5000 0.2500 x2  4 Hg 2.95
Cd: 0.0000 0.5000 0.7500 x2  4 Hg 2.95
Hg: 0.0000 0.0000 0.3859 x4  2 Cd 2.95, 2 Mg 2.95, 1 Hg 3.03

This record from OQMD describes KSmO2 after structural relaxation. The functional is GGA-PBE.

Cell lengths 3.5372, 3.5372, 19.0408 Å; angles 90.00, 90.00, 120.00 degrees
Last column: nearest neighbours and their distance in Å.
Space group R3m (No. 160, hexagonal axes)
Symmetry-distinct sites (fractional):
K: 0.0000 0.0000 0.0000 x3  6 O 2.77-2.90
Sm: 0.0000 0.0000 0.8295 x3  6 O 2.36-2.38
O: 0.0000 0.0000 0.2252 x3  3 Sm 2.36
O: 0.0000 0.0000 0.4315 x3  3 Sm 2.38

This record from OQMD describes YTm2Lu4Cu2Te2 after structural relaxation. The functional is GGA-PBE.

Cell lengths 3.9134, 15.1987, 9.4488 Å; angles 90.00, 90.00, 90.00 degrees
Last column: nearest neighbours and their distance in Å.
Space group Imm2 (No. 44)
Symmetry-distinct sites (fractional):
Y: 0.0000 0.0000 0.0000 x2  3 Te 3.18-3.19
Tm: 0.0000 0.1312 0.4158 x4  2 Cu 2.82, 3 Te 3.07-3.14
Lu: 0.0000 0.3142 0.6204 x4  2 Cu 2.78
Lu: 0.0000 0.3545 0.2636 x4  2 Cu 2.84, 2 Te 3.10
Cu: 0.0000 0.2358 0.9268 x4  4 Lu 2.78-2.84, 2 Tm 2.82
Te: 0.0000 0.0000 0.6624 x2  2 Tm 3.07, 4 Lu 3.10, 1 Y 3.19
Te: 0.0000 0.5000 0.7651 x2  4 Tm 3.14, 2 Lu 3.14, 2 Y 3.18

This record from OQMD describes Hf2Be2Pd after structural relaxation. The functional is GGA-PBE.

Cell lengths 6.3607, 6.3607, 3.6699 Å; angles 90.00, 90.00, 90.00 degrees
Last column: nearest neighbours and their distance in Å.
Space group P4/mbm (No. 127)
Symmetry-distinct sites (fractional):
Hf: 0.1721 0.3279 0.0000 x4  6 Be 2.61-2.64
Be: 0.1223 0.6223 0.5000 x4  1 Be 2.20
Pd: 0.0000 0.0000 0.5000 x2  4 Be 2.53

Number 1: DFT total energy -5.377 eV per atom. Number 2: DFT total energy -5.634 eV per atom. Number 3: DFT total energy -1.359 eV per atom. Number 4: DFT total energy -6.552 eV per atom. Number 5: DFT total energy -4.870 eV per atom. Number 6: DFT total energy -6.949 eV per atom.